1.
## KMgPt2Au (PBEsol)

Data for a relaxed KMgPt2Au crystal.

abc: 4.6701 4.6701 5.1394
angles: 90.00 90.00 90.00
Closest atoms and distances in Å follow each position.
Atoms (fractional coordinates):
Au  0.5000  0.5000  0.5000  4 K 3.30, 8 Pt 3.47
Pt  0.0000  0.5000  0.0000  2 Mg 2.34
Pt  0.5000  0.0000  0.0000  2 Mg 2.34
Mg  0.0000  0.0000  0.0000  4 Pt 2.34, 2 K 2.57
K  0.0000  0.0000  0.5000  2 Mg 2.57

- Calculated total energy: -3.315 eV per atom
- SG: P4/mmm
- Formation enthalpy at 0 K: 398.2 kJ/mol of formula units

=====

2.
## K2ScBr (PBEsol)

Data for a relaxed K2ScBr crystal.

abc: 3.5752 6.5100 7.4744
angles: 115.82 103.84 90.00
Closest atoms and distances in Å follow each position.
Atoms (fractional coordinates):
K  0.7636  0.2636  0.5273  2 K 3.58, 4 Br 3.75
K  0.9483  0.9483  0.8966  2 Br 3.39, 2 K 3.58
Br  0.2259  0.7259  0.4517  2 Sc 2.78
Sc  0.5622  0.5622  0.1244  2 Br 2.78

- ΔE to the lowest computed polymorph: 0.10 eV per formula unit
- Calculated total energy: -2.933 eV per atom
- SG: Imm2
- Formation energy without anion corrections: -0.25 eV/atom

=====

3.
## Co2BiP (PBEsol)

Data for a relaxed Co2BiP crystal.

abc: 4.3482 4.3482 4.3482
angles: 60.00 60.00 60.00
Closest atoms and distances in Å follow each position.
Atoms (fractional coordinates):
Co  0.2500  0.2500  0.2500  4 Bi 2.66, 4 P 2.66
Co  0.7500  0.7500  0.7500  4 P 2.66, 4 Bi 2.66
P  0.0000  0.0000  0.0000  8 Co 2.66
Bi  0.5000  0.5000  0.5000  8 Co 2.66

- Calculated total energy: -5.973 eV per atom
- SG: Fm-3m
- Formation enthalpy at 0 K: 160.2 kJ/mol of formula units

=====

4.
## CrRePt2N (PBEsol)

Data for a relaxed CrRePt2N crystal.

abc: 3.8865 4.1981 4.1981
angles: 90.00 90.00 90.00
Closest atoms and distances in Å follow each position.
Atoms (fractional coordinates):
Pt  0.0000  0.5000  0.0000  2 N 2.10
Pt  0.0000  0.0000  0.5000  2 N 2.10
Cr  0.5000  0.5000  0.5000  8 Pt 2.86, 4 Re 2.97
Re  0.5000  0.0000  0.0000  2 N 1.94
N  0.0000  0.0000  0.0000  2 Re 1.94, 4 Pt 2.10

- Calculated total energy: -8.768 eV per atom
- SG: P4/mmm
- Formation energy without anion corrections: 0.44 eV/atom

=====

5.
## YZrHg3 (PBEsol)

Data for a relaxed YZrHg3 crystal.

abc: 5.2725 5.2725 5.2725
angles: 90.00 90.00 90.00
Closest atoms and distances in Å follow each position.
Atoms (fractional coordinates):
Y  0.5000  0.5000  0.5000  12 Hg 3.73
Zr  0.0000  0.0000  0.0000  6 Hg 2.64
Hg  0.0000  0.5000  0.0000  2 Zr 2.64
Hg  0.5000  0.0000  0.0000  2 Zr 2.64
Hg  0.0000  0.0000  0.5000  2 Zr 2.64

- ΔE to the lowest computed polymorph: 0.00 eV per formula unit
- Calculated total energy: -3.117 eV per atom
- SG: Pm-3m
- Formation enthalpy at 0 K: 195.4 kJ/mol of formula units

=====

6.
## HfI2NCl (PBEsol)

Data for a relaxed HfI2NCl crystal.

abc: 3.9905 5.7074 5.7074
angles: 90.00 90.00 90.00
Closest atoms and distances in Å follow each position.
Atoms (fractional coordinates):
I  0.0000  0.0000  0.5000  2 Hf 2.85
I  0.0000  0.5000  0.0000  2 Hf 2.85
Cl  0.5000  0.5000  0.5000  8 I 3.48
N  0.5000  0.0000  0.0000  2 Hf 2.00
Hf  0.0000  0.0000  0.0000  2 N 2.00

- Calculated total energy: -5.040 eV per atom
- SG: P4/mmm
- Formation energy without anion corrections: -0.13 eV/atom

=====

7.
## MgAuCl2 (PBEsol)

Data for a relaxed MgAuCl2 crystal.

abc: 3.0411 3.0411 9.4264
angles: 90.00 90.00 90.00
Closest atoms and distances in Å follow each position.
Atoms (fractional coordinates):
Cl  0.0000  0.0000  0.8405  4 Mg 2.62
Cl  0.0000  0.0000  0.1595  4 Mg 2.62
Au  0.5000  0.5000  0.5000  4 Au 3.04
Mg  0.5000  0.5000  0.0000  8 Cl 2.62

- ΔE to the lowest computed polymorph: 0.00 eV per formula unit
- Calculated total energy: -3.086 eV per atom
- SG: P4/mmm
- Formation energy without anion corrections: -0.67 eV/atom

=====

8.
## KTa4Cu (PBEsol)

Data for a relaxed KTa4Cu crystal.

abc: 5.5456 5.5456 5.5456
angles: 60.00 60.00 60.00
Closest atoms and distances in Å follow each position.
Atoms (fractional coordinates):
Ta  0.3742  0.8775  0.3742  6 Ta 2.75-2.79
Ta  0.3742  0.3742  0.3742  6 Ta 2.75-2.79
Ta  0.8775  0.3742  0.3742  6 Ta 2.75-2.79
Ta  0.3742  0.3742  0.8775  6 Ta 2.75-2.79
Cu  0.7500  0.7500  0.7500  12 Ta 3.25, 4 K 3.40
K  0.0000  0.0000  0.0000  12 Ta 3.25, 4 Cu 3.40

- Calculated total energy: -8.080 eV per atom
- SG: F-43m
- Formation enthalpy at 0 K: 693.9 kJ/mol of formula units

=====

9.
## HfBeSi (PBEsol)

Data for a relaxed HfBeSi crystal.

abc: 3.6888 3.6888 7.0267
angles: 90.00 90.00 120.00
Closest atoms and distances in Å follow each position.
Atoms (fractional coordinates):
Hf  0.0000  0.0000  0.0000  6 Be 2.76, 6 Si 2.76
Hf  0.0000  0.0000  0.5000  6 Be 2.76, 6 Si 2.76
Si  0.3333  0.6667  0.7500  3 Be 2.13
Si  0.6667  0.3333  0.2500  3 Be 2.13
Be  0.6667  0.3333  0.7500  3 Si 2.13
Be  0.3333  0.6667  0.2500  3 Si 2.13

- Calculated total energy: -7.449 eV per atom
- SG: P6_3/mmc
- Formation energy without anion corrections: -0.70 eV/atom